Material: Hf2TlOsRu
Method: DFT, PBE
State: optimized geometry

Formation energy, eV/atom: 0.98
Calculated volume, A^3/atom: 24.73
SG: No. 123
Calculated total energy, eV/atom: -7.575

a b c (Å): 4.934 4.934 5.080
angles (deg): 90.00 90.00 90.00
Sites, in units of the cell vectors:
Hf1 0.000 0.500 0.000
Hf2 0.500 0.000 0.000
Tl1 0.000 0.000 0.500
Os1 0.000 0.000 0.000
Ru1 0.500 0.500 0.500

Material: NaLa2Ge
Method: DFT, PBE
State: optimized geometry

Formation energy, eV/atom: -0.08
Calculated volume, A^3/atom: 34.16
SG: No. 122
Calculated total energy, eV/atom: -4.029

a b c (Å): 7.149 7.149 7.149
angles (deg): 104.24 104.24 120.54
Sites, in units of the cell vectors:
Na1 0.000 0.000 0.000
Na2 0.750 0.250 0.500
La1 0.172 0.125 0.547
La2 0.375 0.828 0.953
La3 0.578 0.625 0.453
La4 0.875 0.422 0.047
Ge1 0.250 0.750 0.500
Ge2 0.500 0.500 0.000

Material: Hf2TeS
Method: DFT, PBE
State: optimized geometry

Calculated volume, A^3/atom: 20.61
Energy relative to the lowest polymorph listed for this composition, eV/atom: 0.000
ΔE_f (raw), eV/atom: -0.8482
SG: No. 160
Calculated total energy, eV/atom: -7.642

a b c (Å): 7.159 7.159 7.159
angles (deg): 30.24 30.24 30.24
Sites, in units of the cell vectors:
Hf1 0.000 0.000 0.000
Hf2 0.204 0.204 0.204
Te1 0.432 0.432 0.432
S1 0.601 0.601 0.601

Material: CeTm3Th3
Method: DFT, PBE
State: optimized geometry

Formation energy, eV/atom: 0.34
Calculated volume, A^3/atom: 33.19
SG: No. 148
Calculated total energy, eV/atom: -5.609

a b c (Å): 8.711 8.711 8.711
angles (deg): 59.74 59.74 59.74
Sites, in units of the cell vectors:
Ce1 0.139 0.139 0.139
Ce2 0.861 0.861 0.861
Tm1 0.067 0.243 0.552
Tm2 0.243 0.552 0.067
Tm3 0.448 0.933 0.757
Tm4 0.552 0.067 0.243
Tm5 0.757 0.448 0.933
Tm6 0.933 0.757 0.448
Th1 0.208 0.425 0.706
Th2 0.294 0.792 0.575
Th3 0.425 0.706 0.208
Th4 0.575 0.294 0.792
Th5 0.706 0.208 0.425
Th6 0.792 0.575 0.294

Material: Zr4ZnTc
Method: DFT, PBE
State: optimized geometry

Formation energy, eV/atom: 0.11
Calculated volume, A^3/atom: 22.66
Energy relative to the lowest polymorph listed for this composition, eV/atom: 0.339
SG: No. 12
Calculated total energy, eV/atom: -7.525

a b c (Å): 4.708 4.708 7.596
angles (deg): 107.91 107.91 59.74
Sites, in units of the cell vectors:
Zr1 0.123 0.123 0.366
Zr2 0.369 0.369 0.106
Zr3 0.631 0.631 0.894
Zr4 0.877 0.877 0.634
Zn1 0.500 0.500 0.500
Tc1 0.000 0.000 0.000

Material: TaRuW
Method: DFT, PBE
State: optimized geometry

Formation energy, eV/atom: 0.52
Calculated volume, A^3/atom: 18.81
Energy relative to the lowest polymorph listed for this composition, eV/atom: 0.529
SG: No. 216
Calculated total energy, eV/atom: -10.845

a b c (Å): 4.305 4.305 4.305
angles (deg): 60.00 60.00 60.00
Sites, in units of the cell vectors:
Ta1 0.000 0.000 0.000
Ru1 0.750 0.750 0.750
W1 0.500 0.500 0.500

Material: InPtRh2
Method: DFT, PBE
State: optimized geometry

Formation energy, eV/atom: -0.17
Calculated volume, A^3/atom: 15.96
SG: No. 12
Calculated total energy, eV/atom: -6.041

a b c (Å): 4.838 4.838 4.873
angles (deg): 100.52 100.52 34.78
Sites, in units of the cell vectors:
In1 0.000 0.000 0.000
Pt1 0.500 0.500 0.500
Rh1 0.251 0.251 0.740
Rh2 0.749 0.749 0.260

Material: PrNd6
Method: DFT, PBE
State: optimized geometry

Formation energy, eV/atom: 1.13
Calculated volume, A^3/atom: 39.95
Energy relative to the lowest polymorph listed for this composition, eV/atom: 1.015
SG: No. 229
Calculated total energy, eV/atom: -3.636

a b c (Å): 7.135 7.135 7.135
angles (deg): 109.47 109.47 109.47
Sites, in units of the cell vectors:
Pr1 0.000 0.000 0.000
Nd1 0.250 0.500 0.750
Nd2 0.250 0.750 0.500
Nd3 0.500 0.250 0.750
Nd4 0.500 0.750 0.250
Nd5 0.750 0.250 0.500
Nd6 0.750 0.500 0.250

Material: LiAlV3
Method: DFT, PBE
State: optimized geometry

Formation energy, eV/atom: 0.94
Calculated volume, A^3/atom: 14.18
Energy relative to the lowest polymorph listed for this composition, eV/atom: 0.000
SG: No. 221
Calculated total energy, eV/atom: -5.662

a b c (Å): 4.139 4.139 4.139
angles (deg): 90.00 90.00 90.00
Sites, in units of the cell vectors:
Li1 0.000 0.000 0.000
Al1 0.500 0.500 0.500
V1 0.000 0.000 0.500
V2 0.000 0.500 0.000
V3 0.500 0.000 0.000

Material: PHSe3
Method: DFT, PBE
State: optimized geometry

Calculated volume, A^3/atom: 23.05
Energy relative to the lowest polymorph listed for this composition, eV/atom: 0.948
SG: No. 221
Calculated total energy, eV/atom: -2.908

a b c (Å): 4.866 4.866 4.866
angles (deg): 90.00 90.00 90.00
Sites, in units of the cell vectors:
P1 0.000 0.000 0.000
H1 0.500 0.500 0.500
Se1 0.000 0.000 0.500
Se2 0.000 0.500 0.000
Se3 0.500 0.000 0.000

Material: SiAsW
Method: DFT, PBE
State: optimized geometry

Calculated volume, A^3/atom: 15.87
Energy relative to the lowest polymorph listed for this composition, eV/atom: 0.481
ΔE_f (raw), eV/atom: 0.3994
SG: No. 156
Calculated total energy, eV/atom: -7.276

a b c (Å): 4.511 4.511 2.701
angles (deg): 90.00 90.00 120.00
Sites, in units of the cell vectors:
Si1 0.000 0.000 0.000
As1 0.333 0.667 0.495
W1 0.667 0.333 0.494

Material: GaTePb2O6
Method: DFT, PBE
State: optimized geometry

Calculated volume, A^3/atom: 13.46
ΔE_f (raw), eV/atom: -1.1687
SG: No. 14
Calculated total energy, eV/atom: -5.502

a b c (Å): 5.770 5.748 9.954
angles (deg): 90.00 125.36 90.00
Sites, in units of the cell vectors:
Ga1 0.000 0.000 0.000
Ga2 0.000 0.500 0.500
Te1 0.500 0.000 0.500
Te2 0.500 0.500 0.000
Pb1 0.244 0.008 0.750
Pb2 0.244 0.492 0.250
Pb3 0.756 0.508 0.750
Pb4 0.756 0.992 0.250
O1 0.212 0.243 0.473
O2 0.212 0.257 0.973
O3 0.232 0.738 0.473
O4 0.232 0.762 0.973
O5 0.297 0.003 0.249
O6 0.297 0.497 0.749
O7 0.703 0.503 0.251
O8 0.703 0.997 0.751
O9 0.768 0.238 0.027
O10 0.768 0.262 0.527
O11 0.788 0.743 0.027
O12 0.788 0.757 0.527